No. 1
Compound: Nd3SmEr6Th2
Source: Alexandria
Functional: PBE
Structure: relaxed

POSCAR file:
```
Nd3SmEr6Th2
1.0
-1.8610 5.1870 -2.8552
-3.9051 -4.7878 0.5894
-1.7431 4.1016 10.8428
Th Nd Er Sm
2 3 6 1
Cartesian
-3.2235 -1.4615 -0.5593
-2.5427 1.8607 -1.7065
-3.0723 5.5800 3.1387
-4.4369 -1.0792 5.4383
-3.7546 2.2504 4.2885
-1.5282 2.7921 1.5087
-5.2900 5.0808 5.9039
-2.2192 -0.5800 2.6732
-4.7171 1.3044 0.9782
-2.7922 3.1963 7.5989
-5.9810 1.7087 7.0684
0.0000 0.0000 0.0000
```

Spin magnetization   0.0 μB/f.u.
Symmetry   C2/m (12)
E_tot   -5.0811 eV/atom
Formation enthalpy at 0 K   2 kJ per mole of atoms

No. 2
Compound: DyZr3Os4
Source: Alexandria
Functional: PBE
Structure: relaxed

POSCAR file:
```
DyZr3Os4
1.0
-1.0184 2.4818 3.8379
0.5034 -5.4977 3.6887
9.1135 1.7135 1.3101
Os Zr Dy
8 6 2
Cartesian
6.9573 -0.0498 1.8786
-0.3869 -0.0942 2.8148
-0.1280 -2.9217 4.7118
1.3823 1.5750 5.0610
7.2162 -2.8773 3.7757
1.6412 -1.2526 6.9581
4.1698 0.7626 3.4698
4.4287 -2.0649 5.3669
4.5567 0.8568 0.6551
1.7692 1.6693 2.2464
2.0210 -1.0798 4.0904
6.5775 -0.2225 4.7463
6.3259 2.5261 2.9016
0.0000 0.0000 0.0000
4.8085 -1.8921 2.4994
0.2517 -2.7488 1.8443
```

Spin magnetization   0.0 μB/f.u.
Symmetry   P4/mmm (123)
E_tot   -9.8118 eV/atom
Formation enthalpy at 0 K   -40 kJ per mole of atoms

No. 3
Compound: Sc3Al9Ir2
Source: Alexandria
Functional: PBE
Structure: relaxed

POSCAR file:
```
Sc3Al9Ir2
1.0
4.0719 0.0000 1.0390
1.6253 7.4391 2.1286
0.1515 -0.0885 7.9046
Al Ir Sc
9 2 3
Cartesian
0.8892 1.0697 5.0136
1.5101 0.0426 2.5802
0.8884 3.6753 5.0166
1.9052 2.0603 1.0320
4.3386 7.3080 8.4920
4.9595 6.2810 6.0586
4.3330 3.0812 8.5139
3.9435 5.2903 10.0402
1.5157 4.2695 2.5583
2.6791 2.4229 6.4971
3.1696 4.9277 4.5752
2.4427 5.2179 7.4236
0.0000 0.0000 0.0000
3.4060 2.1327 3.6486
```

Spin magnetization   0.0 μB/f.u.
Symmetry   Immm (71)
E_tot   -5.6515 eV/atom
Formation enthalpy at 0 K   -60 kJ per mole of atoms